Compound: Y2TlW
Source: the Alexandria database
Functional: PBE
Structure: optimized geometry

ρ in g/cm³: 9.413
E_form in eV/atom: 0.464
Volume in Å³/cell: 99.85
Magnetization in Bohr magnetons per cell: 0.846
Energy relative to the lowest polymorph listed for this composition in eV per atom: 0.2596

a b c (Å): 3.696 3.696 7.309
angles (deg): 90.00 90.00 90.00
Fractional coordinates of all 4 atoms:
Y1 0.000 0.000 0.000
Y2 0.500 0.500 0.334
Tl1 0.000 0.000 0.575
W1 0.500 0.500 0.763